The following is a PBE+U calculation of a relaxed structure of TiMn2FeO6, from Alexandria.

Lattice parameters (Å, degrees): 5.0736 5.0739 5.4483 89.99 62.54 60.10
Space group P1 (No. 1)
Unique sites:
Ti  0.0000  0.0000  0.0000 [1 per cell]
Mn  0.4023  0.3064  0.8899 [1 per cell]
Mn  0.4054  0.8047  0.3939 [1 per cell]
Fe  0.9897  0.5089  0.5085 [1 per cell]
O  0.2212  0.7100  0.1743 [1 per cell]
O  0.2309  0.6005  0.6840 [1 per cell]
O  0.4853  0.9263  0.6855 [1 per cell]
O  0.5390  0.0762  0.1625 [1 per cell]
O  0.9002  0.1882  0.6826 [1 per cell]
O  0.9051  0.3972  0.1634 [1 per cell]

Total magnetic moment in μB/atom: 0.80
Raw total energy in eV per atom: -7.5384
Theoretical density in g cm⁻³: 4.99